Entry 1:
A plane-wave DFT calculation with PBE was carried out for crystalline HfZrHgN at its relaxed geometry.

Unit cell a=3.3049 b=3.3049 c=21.8524 alpha=90.00 beta=90.00 gamma=120.00
Space group R3m (No. 160, hexagonal axes)
Unique sites:
Hf 0.0000 0.0000 0.0000 x3
Zr 0.0000 0.0000 0.2215 x3
Hg 0.0000 0.0000 0.4432 x3
N 0.0000 0.0000 0.6154 x3

Magnetic moment in Bohr magnetons per cell: 0.0
DOS(E_F) in states/eV per cell: 5.5
E_form (uncorrected) in kcal/mol of atoms: -22.64
E_tot in eV per atom: -7.7640

---

Entry 2:
A plane-wave DFT calculation with PBE was carried out for crystalline Na2HfHg at its relaxed geometry.

Unit cell a=3.1318 b=3.1318 c=35.9860 alpha=90.00 beta=90.00 gamma=120.00
Space group R-3m (No. 166, hexagonal axes)
Unique sites:
Na 0.0000 0.0000 0.0882 x6
Hf 0.0000 0.0000 0.0000 x3
Hg 0.0000 0.0000 0.5000 x3

Formation energy in eV/atom: 0.30
Magnetic moment in Bohr magnetons per cell: 0.0
DOS(E_F) in states/eV per cell: 13.1
E_tot in eV per atom: -2.9254

---

Entry 3:
A plane-wave DFT calculation with PBE was carried out for crystalline Na2HfHg at its relaxed geometry.

Unit cell a=8.6275 b=8.6275 c=5.7636 alpha=90.00 beta=90.00 gamma=90.00
Space group I-42d (No. 122)
Unique sites:
Na 0.2146 0.2500 0.1250 x8
Hf 0.0000 0.0000 0.5000 x4
Hg 0.0000 0.0000 0.0000 x4

Formation energy in eV/atom: 0.64
Magnetic moment in Bohr magnetons per cell: 2.8
DOS(E_F) in states/eV per cell: 15.7
E_tot in eV per atom: -2.5856

---

Entry 4:
A plane-wave DFT calculation with PBE was carried out for crystalline NaHf2Hg at its relaxed geometry.

Unit cell a=4.1277 b=4.1277 c=22.3900 alpha=90.00 beta=90.00 gamma=90.00
Space group I-42d (No. 122)
Unique sites:
Na 0.0000 0.0000 0.0000 x4
Hf 0.2370 0.2500 0.6250 x8
Hg 0.0000 0.0000 0.5000 x4

Formation energy in eV/atom: 0.57
Magnetic moment in Bohr magnetons per cell: 0.0
DOS(E_F) in states/eV per cell: 14.8
E_tot in eV per atom: -4.8152